1.
CrCoRh2: optimized geometry, PBE-GGA.

Lattice parameters (Å, degrees): 4.5664 4.5664 4.4973 78.57 78.57 33.96
Closest atoms and distances in Å follow each position.
Fractional positions:
Co 0.4934 0.4934 0.4951  3 Cr 2.53-2.78, 7 Rh 2.57-2.67, 2 Co 2.67
Cr 0.7564 0.7564 0.7545  3 Co 2.53-2.78, 7 Rh 2.56-2.67, 2 Cr 2.67
Rh 0.0048 0.0048 0.9779  4 Co 2.57-2.67, 3 Cr 2.57-2.59, 5 Rh 2.67-2.72
Rh 0.2454 0.2454 0.2726  4 Cr 2.56-2.67, 3 Co 2.57-2.59, 5 Rh 2.67-2.72

- Density of states at the Fermi level: 5.80 states/eV per cell
- Calculated formation energy: 0.039 eV/atom

=====

2.
Pr6TaSn10: optimized geometry, PBE-GGA.

Lattice parameters (Å, degrees): 6.2696 9.4555 9.4555 120.00 90.00 90.00
Closest atoms and distances in Å follow each position.
Fractional positions:
Pr 0.7414 0.3867 0.3867  7 Sn 3.20-3.35
Pr 0.7414 0.0000 0.6133  7 Sn 3.20-3.35
Pr 0.7414 0.6133 0.0000  7 Sn 3.20-3.35
Pr 0.2586 0.6133 0.6133  7 Sn 3.20-3.35
Pr 0.2586 0.0000 0.3867  7 Sn 3.20-3.35
Pr 0.2586 0.3867 0.0000  7 Sn 3.20-3.35
Ta 0.5000 0.0000 0.0000  6 Sn 2.83
Sn 0.7924 0.7721 0.7721  1 Ta 2.83
Sn 0.7924 0.0000 0.2279  1 Ta 2.83
Sn 0.7924 0.2279 0.0000  1 Ta 2.83
Sn 0.2076 0.2279 0.2279  1 Ta 2.83
Sn 0.2076 0.0000 0.7721  1 Ta 2.83
Sn 0.2076 0.7721 0.0000  1 Ta 2.83
Sn 0.5000 0.3333 0.6667  2 Sn 3.13, 6 Pr 3.30
Sn 0.5000 0.6667 0.3333  2 Sn 3.13, 6 Pr 3.30
Sn 0.0000 0.6667 0.3333  2 Sn 3.13, 6 Pr 3.35
Sn 0.0000 0.3333 0.6667  2 Sn 3.13, 6 Pr 3.35

- Density of states at the Fermi level: 9.20 states/eV per cell
- Calculated formation energy: -0.502 eV/atom

=====

3.
PmCdSb2: optimized geometry, PBE-GGA.

Lattice parameters (Å, degrees): 4.5108 4.5108 9.3568 76.05 76.05 60.00
Closest atoms and distances in Å follow each position.
Fractional positions:
Sb 0.1001 0.1001 0.6998  1 Cd 2.70
Sb 0.8999 0.8999 0.3002  1 Cd 2.70
Cd 0.0000 0.0000 0.0000  2 Sb 2.70
Pm 0.5000 0.5000 0.5000  6 Sb 3.16

- Density of states at the Fermi level: 1.29 states/eV per cell
- ΔE_f (raw): -0.221 eV/atom